This record from Alexandria via LeMat-Bulk describes a relaxed RbSN2O crystal. The functional is PBE-GGA.

Geometry as CIF:
```
data_RbSN2O
_chemical_formula_sum 'Rb1 S1 N2 O1'
_space_group_name_H-M_alt 'P 1'
_space_group_IT_number 1
_cell_length_a 5.6856
_cell_length_b 5.6856
_cell_length_c 5.0029
_cell_angle_alpha 90.00
_cell_angle_beta 90.00
_cell_angle_gamma 90.00
loop_
_space_group_symop_operation_xyz
'x,y,z'
loop_
_atom_site_label
_atom_site_fract_x
_atom_site_fract_y
_atom_site_fract_z
S1 0.5000 0.5000 0.5000
O1 0.0000 0.0000 0.5000
Rb1 0.0000 0.0000 0.0000
N1 0.0000 0.5000 0.0000
N2 0.5000 0.0000 0.0000
```

Calculated values
The total magnetic moment is 2.945 μB per formula unit. The space group is P4/mmm (123). The electronic total energy is -2.789 eV/atom. The calculation puts the uncorrected formation energy at 2.552 eV per atom.

This record from Alexandria via LeMat-Bulk describes a relaxed V4CrW3 crystal. The functional is PBE-GGA.

Geometry as CIF:
```
data_V4CrW3
_chemical_formula_sum 'V4 Cr1 W3'
_space_group_name_H-M_alt 'P 1'
_space_group_IT_number 1
_cell_length_a 3.0496
_cell_length_b 3.0496
_cell_length_c 12.1691
_cell_angle_alpha 90.00
_cell_angle_beta 90.00
_cell_angle_gamma 90.00
loop_
_space_group_symop_operation_xyz
'x,y,z'
loop_
_atom_site_label
_atom_site_fract_x
_atom_site_fract_y
_atom_site_fract_z
V1 0.0000 0.0000 0.3721
V2 0.0000 0.0000 0.1167
V3 0.0000 0.0000 0.6279
V4 0.0000 0.0000 0.8833
W1 0.5000 0.5000 0.7553
W2 0.5000 0.5000 0.2447
W3 0.5000 0.5000 0.5000
Cr1 0.5000 0.5000 0.0000
```

Calculated values
For the formation energy, the calculation gives -0.5 eV/f.u. The total magnetic moment is 0.000 μB per formula unit. The space group is P4/mmm (123). The electronic total energy is -10.680 eV/atom.

This record from Alexandria via LeMat-Bulk describes a relaxed PmPuSbN crystal. The functional is PBE-GGA.

Geometry as CIF:
```
data_PmPuSbN
_chemical_formula_sum 'Pm2 Pu2 Sb2 N2'
_space_group_name_H-M_alt 'P 1'
_space_group_IT_number 1
_cell_length_a 4.6437
_cell_length_b 4.6437
_cell_length_c 8.9204
_cell_angle_alpha 90.00
_cell_angle_beta 90.00
_cell_angle_gamma 90.00
loop_
_space_group_symop_operation_xyz
'x,y,z'
loop_
_atom_site_label
_atom_site_fract_x
_atom_site_fract_y
_atom_site_fract_z
Pm1 0.5000 0.5000 0.5000
Pm2 0.0000 0.0000 0.5000
N1 0.0000 0.5000 0.4063
N2 0.5000 0.0000 0.5937
Sb1 0.0000 0.5000 0.8063
Sb2 0.5000 0.0000 0.1937
Pu1 0.5000 0.0000 0.8316
Pu2 0.0000 0.5000 0.1684
```

Calculated values
The total magnetic moment is 4.928 μB per formula unit. The space group is P4/nmm (129). The electronic total energy is -8.959 eV/atom. The calculation puts the uncorrected formation energy at -1.076 eV per atom.